Material: Dy2Y5HoSc
Method: DFT, GGA-PBE
State: optimized geometry

Calculated values
For the formation energy, the calculation gives 0.159 eV per atom. As for the crystal system: orthorhombic.

abc: 5.564 20.933 9.822
angles: 90.00 90.00 90.00
Space group Cmc2_1 (No. 36)
Asymmetric unit:
Dy 0.000 0.106 0.000 (multiplicity 4)
Dy 0.000 0.122 0.400 (multiplicity 4)
Y 0.000 0.021 0.689 (multiplicity 4)
Y 0.000 0.251 0.050 (multiplicity 4)
Y 0.000 0.306 0.389 (multiplicity 4)
Y 0.000 0.363 0.714 (multiplicity 4)
Y 0.000 0.482 0.417 (multiplicity 4)
Ho 0.000 0.395 0.109 (multiplicity 4)
Sc 0.000 0.186 0.709 (multiplicity 4)

=====

Material: Dy5Y2HoSc
Method: DFT, GGA-PBE
State: optimized geometry

Calculated values
For the formation energy, the calculation gives 0.165 eV per atom. As for the crystal system: orthorhombic.

abc: 5.539 19.802 10.363
angles: 90.00 90.00 90.00
Space group Cmc2_1 (No. 36)
Asymmetric unit:
Dy 0.000 0.018 0.000 (multiplicity 4)
Dy 0.000 0.122 0.280 (multiplicity 4)
Dy 0.000 0.200 0.964 (multiplicity 4)
Dy 0.000 0.223 0.579 (multiplicity 4)
Dy 0.000 0.481 0.277 (multiplicity 4)
Y 0.000 0.386 0.996 (multiplicity 4)
Y 0.000 0.389 0.573 (multiplicity 4)
Ho 0.000 0.091 0.718 (multiplicity 4)
Sc 0.000 0.304 0.274 (multiplicity 4)

=====

Material: DyY6Ho3Sc2
Method: DFT, GGA-PBE
State: optimized geometry

Calculated values
For the formation energy, the calculation gives 0.044 eV per atom. As for the crystal system: monoclinic.

abc: 6.084 10.527 11.612
angles: 90.00 100.02 90.00
Space group C2/m (No. 12)
Asymmetric unit:
Dy 0.000 0.000 0.000 (multiplicity 2)
Y 0.247 0.500 0.245 (multiplicity 4)
Y 0.250 0.168 0.245 (multiplicity 8)
Ho 0.000 0.167 0.500 (multiplicity 4)
Ho 0.000 0.500 0.500 (multiplicity 2)
Sc 0.000 0.333 0.000 (multiplicity 4)

=====

Material: DyYHo4Sc2
Method: DFT, GGA-PBE
State: optimized geometry

Calculated values
For the formation energy, the calculation gives 0.042 eV per atom. As for the crystal system: monoclinic.

abc: 12.021 6.941 11.977
angles: 90.00 109.58 90.00
Space group C2/m (No. 12)
Asymmetric unit:
Dy 0.250 0.250 0.000 (multiplicity 4)
Y 0.000 0.000 0.000 (multiplicity 2)
Y 0.000 0.000 0.500 (multiplicity 2)
Ho 0.002 0.252 0.253 (multiplicity 8)
Ho 0.247 0.500 0.740 (multiplicity 4)
Ho 0.249 0.500 0.252 (multiplicity 4)
Sc 0.000 0.500 0.000 (multiplicity 2)
Sc 0.000 0.500 0.500 (multiplicity 2)
Sc 0.250 0.250 0.500 (multiplicity 4)

=====

Material: Dy6Y2Ho3Sc
Method: DFT, GGA-PBE
State: optimized geometry

Calculated values
For the formation energy, the calculation gives 0.028 eV per atom. As for the crystal system: monoclinic.

abc: 6.100 10.554 11.657
angles: 90.00 100.00 90.00
Space group C2/m (No. 12)
Asymmetric unit:
Dy 0.248 0.000 0.251 (multiplicity 4)
Dy 0.248 0.165 0.749 (multiplicity 8)
Y 0.000 0.333 0.500 (multiplicity 4)
Ho 0.000 0.166 0.000 (multiplicity 4)
Ho 0.000 0.500 0.000 (multiplicity 2)
Sc 0.000 0.000 0.500 (multiplicity 2)

=====

Material: Dy2YHo2Sc2
Method: DFT, GGA-PBE
State: optimized geometry

Calculated values
For the formation energy, the calculation gives 0.070 eV per atom. As for the crystal system: orthorhombic.

abc: 3.428 5.371 22.367
angles: 90.00 90.00 90.00
Space group Immm (No. 71)
Asymmetric unit:
Dy 0.000 0.000 0.072 (multiplicity 4)
Y 0.000 0.000 0.500 (multiplicity 2)
Ho 0.000 0.500 0.292 (multiplicity 4)
Sc 0.000 0.500 0.144 (multiplicity 4)

=====

Material: DyY3HoSc
Method: DFT, GGA-PBE
State: optimized geometry

Calculated values
For the formation energy, the calculation gives 0.041 eV per atom. As for the crystal system: monoclinic.

abc: 9.504 3.515 11.428
angles: 90.00 104.87 90.00
Space group P2_1/m (No. 11)
Asymmetric unit:
Dy 0.079 0.250 0.359 (multiplicity 2)
Y 0.141 0.750 0.105 (multiplicity 2)
Y 0.206 0.250 0.850 (multiplicity 2)
Y 0.278 0.750 0.608 (multiplicity 2)
Ho 0.467 0.250 0.128 (multiplicity 2)
Sc 0.410 0.750 0.375 (multiplicity 2)

=====

Material: DyY2Ho6Sc
Method: DFT, GGA-PBE
State: optimized geometry

Calculated values
For the formation energy, the calculation gives 0.132 eV per atom. As for the crystal system: monoclinic.

abc: 9.028 14.797 9.348
angles: 90.00 96.85 90.00
Space group C2/c (No. 15)
Asymmetric unit:
Dy 0.000 0.024 0.250 (multiplicity 4)
Y 0.247 0.449 0.453 (multiplicity 8)
Ho 0.060 0.186 0.944 (multiplicity 8)
Ho 0.099 0.391 0.116 (multiplicity 8)
Ho 0.214 0.221 0.310 (multiplicity 8)
Sc 0.000 0.413 0.750 (multiplicity 4)

=====

Calculated final energy, -5.667; -5.041; -5.771; -5.213; -5.022; -5.286; -5.776; -5.001 eV/atom (same order as the records).
Calculated total magnetic moment, 0.00; 0.00; 0.00; 0.00; 0.00; 0.00; 0.00; 0.00 Bohr magnetons per cell (same order as the records).
Calculated DOS(E_F), 1.77; 1.69; 1.56; 1.42; 1.41; 2.04; 1.63; 1.32 states/eV/atom (same order as the records).